Record 1
First-principles (PBE) data for a geometry-optimized CaGa8Cu4 structure, as listed in Alexandria.

* E_form: -18.1 kJ per mole of atoms
* E: -3.464 eV per atom

Unit cell a=8.9294 b=8.9294 c=5.2192 alpha=90.00 beta=90.00 gamma=90.00
Last column: nearest neighbours and their distance in Å.
Space group I4/mmm (No. 139)
One atom of each set of equivalent atoms:
Ca  0.0000  0.0000  0.0000  12 Ga 3.10-3.25, 8 Cu 3.42
Ga  0.0000  0.2166  0.5000  4 Cu 2.60, 6 Ga 2.73-2.88
Ga  0.0000  0.3471  0.0000  4 Cu 2.73, 5 Ga 2.73-2.88
Cu  0.2500  0.2500  0.2500  8 Ga 2.60-2.73, 2 Cu 2.61


Record 2
First-principles (PBE) data for a geometry-optimized IOF2 structure, as listed in Alexandria.

* polymorph energy (0 for the lowest one): 1376.2 meV/atom
* E: -2.128 eV per atom
* formation energy (no corrections): 0.435 eV/atom

Unit cell a=5.8747 b=5.8747 c=8.4622 alpha=90.00 beta=90.00 gamma=90.00
Last column: nearest neighbours and their distance in Å.
Space group I4_1/amd (No. 141, origin choice 2)
One atom of each set of equivalent atoms:
I  0.0000  0.2500  0.3750  12 F 3.45-3.50, 4 O 3.62, 4 I 3.62
O  0.0000  0.2500  0.8750  4 F 1.81
F  0.0000  0.0000  0.0000  2 O 1.81


Record 3
First-principles (PBE) data for a geometry-optimized La8Sm3Y2 structure, as listed in Alexandria.

* polymorph energy (0 for the lowest one): 0.0 meV/atom
* E_form: 14.0 kJ per mole of atoms
* E: -4.971 eV per atom

Unit cell a=13.6089 b=11.9775 c=6.1856 alpha=90.00 beta=112.37 gamma=90.00
Last column: nearest neighbours and their distance in Å.
Space group C2/m (No. 12)
One atom of each set of equivalent atoms:
La  0.0837  0.0000  0.2374  1 La 2.95
La  0.1408  0.5000  0.5964  4 Sm 3.45-3.71, 1 Y 3.45, 2 La 3.49-3.55
La  0.1630  0.2569  0.1545  2 La 3.36-3.57, 1 Y 3.49, 2 Sm 3.56-3.64
Sm  0.0000  0.2283  0.5000  8 La 3.58-3.82, 2 Y 3.78
Sm  0.0000  0.5000  0.0000  8 La 3.45-3.68
Y  0.1917  0.0000  0.8216  6 La 3.34-3.63


Record 4
First-principles (PBE) data for a geometry-optimized La2TiBeCl structure, as listed in Alexandria.

* E: -4.235 eV per atom
* formation energy (no corrections): 0.429 eV/atom

Unit cell a=5.6061 b=5.6061 c=4.5655 alpha=90.00 beta=90.00 gamma=90.00
Last column: nearest neighbours and their distance in Å.
Space group P4/mmm (No. 123)
One atom of each set of equivalent atoms:
La  0.0000  0.5000  0.0000  2 Ti 2.80
Ti  0.0000  0.0000  0.0000  2 Cl 2.28
Be  0.5000  0.5000  0.5000  8 La 3.61, 4 Cl 3.96
Cl  0.0000  0.0000  0.5000  2 Ti 2.28


Record 5
First-principles (PBE) data for a geometry-optimized MgAl2PdAu4 structure, as listed in Alexandria.

* E_form: -23.0 kJ per mole of atoms
* E: -3.661 eV per atom

Unit cell a=3.8393 b=3.8393 c=10.3991 alpha=90.00 beta=90.00 gamma=90.00
Last column: nearest neighbours and their distance in Å.
Space group P4/mmm (No. 123)
One atom of each set of equivalent atoms:
Mg  0.0000  0.0000  0.0000  8 Au 2.86
Al  0.5000  0.5000  0.3792  1 Al 2.51, 4 Au 2.65
Pd  0.0000  0.0000  0.5000  8 Al 2.99
Au  0.0000  0.5000  0.2038  2 Al 2.65, 4 Au 2.71, 2 Mg 2.86


Record 6
First-principles (PBE) data for a geometry-optimized Pm3Sm6Y2Sc structure, as listed in Alexandria.

* E_form: 2.6 kJ per mole of atoms
* E: -5.125 eV per atom

Unit cell a=6.2364 b=10.8033 c=11.8786 alpha=90.00 beta=100.07 gamma=90.00
Last column: nearest neighbours and their distance in Å.
Space group C2/m (No. 12)
One atom of each set of equivalent atoms:
Pm  0.0000  0.0000  0.0000  6 Pm 3.60, 6 Sm 3.63-3.64
Pm  0.0000  0.3334  0.0000  6 Pm 3.60, 6 Sm 3.63-3.65
Sm  0.2462  0.3352  0.7448  1 Sc 3.52, 2 Y 3.55, 6 Sm 3.56-3.62, 3 Pm 3.63-3.65
Sm  0.2484  0.5000  0.2548  1 Sc 3.53, 2 Y 3.55, 6 Sm 3.56-3.62, 3 Pm 3.63-3.64
Y  0.0000  0.1666  0.5000  6 Sm 3.55, 3 Y 3.60, 3 Sc 3.60
Sc  0.0000  0.5000  0.5000  6 Sm 3.52-3.53, 6 Y 3.60


Record 7
First-principles (PBE) data for a geometry-optimized Ba2ZrFe structure, as listed in Alexandria.

* polymorph energy (0 for the lowest one): 566.1 meV/atom
* E_form: 91.6 kJ per mole of atoms
* E: -4.265 eV per atom

Unit cell a=3.6149 b=4.8982 c=7.2295 alpha=90.00 beta=90.00 gamma=90.00
Last column: nearest neighbours and their distance in Å.
Space group Pmmm (No. 47)
One atom of each set of equivalent atoms:
Ba  0.0000  0.0000  0.2380  4 Ba 3.44-3.79, 4 Fe 3.50, 4 Zr 3.59
Zr  0.5000  0.5000  0.5000  8 Ba 3.59, 2 Fe 3.61, 2 Zr 3.61
Fe  0.5000  0.5000  0.0000  8 Ba 3.50, 2 Zr 3.61, 2 Fe 3.61


Record 8
First-principles (PBE) data for a geometry-optimized Re2SbSe structure, as listed in Alexandria.

* polymorph energy (0 for the lowest one): 744.6 meV/atom
* E: -7.198 eV per atom
* formation energy (no corrections): 0.928 eV/atom

Unit cell a=5.2745 b=9.1326 c=4.0372 alpha=90.00 beta=130.45 gamma=90.00
Last column: nearest neighbours and their distance in Å.
Space group C2/m (No. 12)
One atom of each set of equivalent atoms:
Re  0.2500  0.2500  0.0000  2 Re 2.64, 2 Sb 2.75, 2 Se 2.75
Sb  0.0000  0.0000  0.5000  2 Se 2.64, 4 Re 2.75
Se  0.0000  0.5000  0.5000  2 Sb 2.64, 4 Re 2.75


Record 9
First-principles (PBE) data for a geometry-optimized AgHg3 structure, as listed in Alexandria.

* E_form: 10.6 kJ per mole of atoms
* E: -0.829 eV per atom

Unit cell a=6.4132 b=8.9733 c=3.1686 alpha=90.00 beta=90.00 gamma=90.00
Last column: nearest neighbours and their distance in Å.
Space group Cmmm (No. 65)
One atom of each set of equivalent atoms:
Ag  0.0000  0.0000  0.0000  2 Ag 3.17, 10 Hg 3.18-3.21
Hg  0.0000  0.5000  0.0000  10 Hg 3.17-3.18, 2 Ag 3.21
Hg  0.2500  0.2500  0.5000  8 Hg 3.17-3.21, 4 Ag 3.18


Record 10
First-principles (PBE) data for a geometry-optimized CeNd2Tm6 structure, as listed in Alexandria.

* polymorph energy (0 for the lowest one): 30.2 meV/atom
* E_form: 12.6 kJ per mole of atoms
* E: -4.569 eV per atom

Unit cell a=12.8175 b=13.8481 c=6.5275 alpha=90.00 beta=101.19 gamma=90.00
Last column: nearest neighbours and their distance in Å.
Space group C2/c (No. 15)
One atom of each set of equivalent atoms:
Ce  0.0000  0.1187  0.2500  6 Tm 3.15-3.46
Nd  0.1414  0.4711  0.3723  3 Nd 3.36-3.67, 7 Tm 3.37-3.63
Tm  0.0291  0.3071  0.9980  1 Ce 3.15, 4 Tm 3.18-3.51, 2 Nd 3.37-3.44
Tm  0.1322  0.0849  0.8138  2 Ce 3.27-3.62, 4 Tm 3.33-3.64, 2 Nd 3.44-3.58
Tm  0.2447  0.2979  0.7399  7 Tm 3.36-3.62, 1 Ce 3.46, 2 Nd 3.47-3.63


Record 11
First-principles (PBE) data for a geometry-optimized Sm5Dy3Tl2 structure, as listed in Alexandria.

* E_form: 14.3 kJ per mole of atoms
* E: -4.065 eV per atom

Unit cell a=13.0839 b=15.3995 c=6.5368 alpha=90.00 beta=90.00 gamma=90.00
Last column: nearest neighbours and their distance in Å.
Space group Ibam (No. 72)
One atom of each set of equivalent atoms:
Sm  0.0000  0.0000  0.2500  8 Sm 3.27-3.41
Sm  0.1217  0.1646  0.0000  1 Tl 2.96
Sm  0.2498  0.0000  0.2500  2 Tl 3.19, 5 Sm 3.27-3.45, 1 Dy 3.27
Dy  0.0000  0.5000  0.2500  4 Tl 3.20, 2 Dy 3.27, 2 Sm 3.27
Dy  0.1133  0.2704  0.5000  3 Tl 3.40-3.53, 4 Sm 3.48-3.65
Tl  0.1259  0.3565  0.0000  3 Sm 2.96-3.19, 2 Dy 3.20


Record 12
First-principles (PBE) data for a geometry-optimized MnRuCl2 structure, as listed in Alexandria.

* polymorph energy (0 for the lowest one): 595.6 meV/atom
* E: -5.094 eV per atom
* formation energy (no corrections): 0.440 eV/atom

Unit cell a=3.5494 b=3.5494 c=11.2037 alpha=90.00 beta=90.00 gamma=90.00
Last column: nearest neighbours and their distance in Å.
Space group I-4m2 (No. 119)
One atom of each set of equivalent atoms:
Mn  0.0000  0.0000  0.0000  4 Cl 2.51
Ru  0.0000  0.5000  0.2500  4 Cl 2.51
Cl  0.0000  0.0000  0.5000  4 Mn 2.51
Cl  0.0000  0.5000  0.7500  4 Ru 2.51